Here is a relaxed structure of KVO2 from the Alexandria database. Energies are from PBE with a Hubbard U.

extended XYZ file:
```
4
Lattice="3.4171 0.0000 0.0000 0.0000 3.4171 0.0000 0.0000 0.0000 4.6050" Properties=species:S:1:pos:R:3 pbc="T T T"
O 0.0000 0.0000 0.0000
K 0.0000 0.0000 2.3025
V 1.7085 1.7085 0.0000
O 1.7085 1.7085 2.3025
```

ρ, g/cm³: 3.77
V, Å³/atom: 13.44
Symmetry: P4/mmm, No. 123
Calculated total energy, eV/f.u.: -22.10